1.
# AlSiGe2Mo

A relaxed AlSiGe2Mo crystal (PBE, Alexandria via LeMat-Bulk).

Properties
Formation energy (no corrections), meV per atom: 948

a = 4.7103 Å, b = 4.7103 Å, c = 4.7269 Å
α = 90.00°, β = 90.00°, γ = 90.00°
Closest atoms and distances in Å follow each position.
Space group P4/mmm (No. 123)
Unique sites:
Al 0.0000 0.0000 0.0000 [1 per cell]  4 Mo 3.33, 8 Ge 3.34
Si 0.5000 0.5000 0.5000 [1 per cell]  4 Ge 2.36, 2 Mo 2.36
Ge 0.0000 0.5000 0.5000 [2 per cell]  2 Si 2.36
Mo 0.5000 0.5000 0.0000 [1 per cell]  2 Si 2.36

***

2.
# Sr2AlGeMo

A relaxed Sr2AlGeMo crystal (PBE, Alexandria via LeMat-Bulk).

Properties
Energy of formation from the pure elements, eV/atom: 0.49

a = 5.9334 Å, b = 5.9334 Å, c = 4.8381 Å
α = 90.00°, β = 90.00°, γ = 90.00°
Closest atoms and distances in Å follow each position.
Space group P4/mmm (No. 123)
Unique sites:
Sr 0.0000 0.5000 0.0000 [2 per cell]  2 Ge 2.97
Al 0.0000 0.0000 0.5000 [1 per cell]  8 Sr 3.83, 4 Mo 4.20
Ge 0.5000 0.5000 0.0000 [1 per cell]  2 Mo 2.42
Mo 0.5000 0.5000 0.5000 [1 per cell]  2 Ge 2.42

***

3.
# AlTcGe2Mo

A relaxed AlTcGe2Mo crystal (PBE, Alexandria via LeMat-Bulk).

Properties
Energy of formation from the pure elements, eV/atom: 1.00

a = 4.8564 Å, b = 4.8564 Å, c = 4.7907 Å
α = 90.00°, β = 90.00°, γ = 90.00°
Closest atoms and distances in Å follow each position.
Space group P4/mmm (No. 123)
Unique sites:
Al 0.0000 0.0000 0.0000 [1 per cell]  8 Ge 3.41, 4 Tc 3.43
Tc 0.5000 0.5000 0.0000 [1 per cell]  2 Mo 2.40
Ge 0.0000 0.5000 0.5000 [2 per cell]  2 Mo 2.43
Mo 0.5000 0.5000 0.5000 [1 per cell]  2 Tc 2.40, 4 Ge 2.43

***

4.
# Al2GeTeMo

A relaxed Al2GeTeMo crystal (PBE, Alexandria via LeMat-Bulk).

Properties
Formation energy (no corrections), meV per atom: 1107

a = 4.7613 Å, b = 4.7613 Å, c = 5.6288 Å
α = 90.00°, β = 90.00°, γ = 90.00°
Closest atoms and distances in Å follow each position.
Space group P4/mmm (No. 123)
Unique sites:
Al 0.0000 0.5000 0.0000 [2 per cell]  2 Ge 2.38
Ge 0.0000 0.0000 0.0000 [1 per cell]  4 Al 2.38
Te 0.0000 0.0000 0.5000 [1 per cell]  2 Ge 2.81
Mo 0.5000 0.5000 0.5000 [1 per cell]  4 Te 3.37, 8 Al 3.69

***

5.
# ThAlGe2Mo

A relaxed ThAlGe2Mo crystal (PBE, Alexandria via LeMat-Bulk).

Properties
Energy of formation from the pure elements, eV/atom: -0.40

a = 5.7224 Å, b = 5.8813 Å, c = 5.8724 Å
α = 90.00°, β = 90.00°, γ = 90.00°
Closest atoms and distances in Å follow each position.
Space group Pmma (No. 51)
Unique sites:
Th 0.2500 0.0000 0.2232 [2 per cell]  2 Al 3.08, 8 Ge 3.17-3.25
Al 0.2500 0.5000 0.3819 [2 per cell]  2 Ge 2.59, 2 Mo 2.66
Ge 0.2500 0.2281 0.7278 [4 per cell]  1 Al 2.59, 2 Mo 2.68, 1 Ge 2.68
Mo 0.0000 0.5000 0.0000 [2 per cell]  2 Al 2.66, 4 Ge 2.68, 2 Mo 2.86

***

6.
# Al2GeMoW

A relaxed Al2GeMoW crystal (PBE, Alexandria via LeMat-Bulk).

Properties
Energy of formation from the pure elements, eV/atom: 1.20

a = 4.9260 Å, b = 4.9260 Å, c = 4.7453 Å
α = 90.00°, β = 90.00°, γ = 90.00°
Closest atoms and distances in Å follow each position.
Space group P4/mmm (No. 123)
Unique sites:
Al 0.0000 0.5000 0.0000 [2 per cell]  2 W 2.46
Ge 0.0000 0.0000 0.5000 [1 per cell]  8 Al 3.42, 4 Mo 3.48
Mo 0.5000 0.5000 0.5000 [1 per cell]  2 W 2.37
W 0.5000 0.5000 0.0000 [1 per cell]  2 Mo 2.37, 4 Al 2.46

***

Sequential final energy output: -0.180; -0.148; -0.214; -0.151; -0.244; -0.220 hartree per atom
Sequential magnetization output: 1.45; 2.11; 1.19; 4.27; 0.00; 1.91 μB/f.u.
Sequential volume output: 104.88; 170.33; 112.99; 127.61; 197.64; 115.15 Å³/cell